[1]
## CuPd3Pt7 (PBE)

Data for CuPd3Pt7 after structural relaxation.

abc: 4.898 6.822 6.822
angles: 83.82 115.22 115.22
Element x y z (fractional)
Pt1 0.673 0.920 0.419
Pt2 0.000 0.500 0.500
Pt3 0.673 0.419 0.920
Pt4 0.327 0.080 0.581
Pt5 0.327 0.581 0.080
Pt6 0.417 0.229 0.229
Pt7 0.583 0.771 0.771
Pd1 0.500 0.000 0.000
Pd2 0.000 0.793 0.207
Pd3 0.000 0.207 0.793
Cu1 0.500 0.500 0.500

energy of formation from the pure elements: 0.218 eV per atom
mass density: 15.63 g/cm3
DOS at the Fermi energy: 1.315 states/eV/atom



[2]
## BeGaCo (PBE)

Data for BeGaCo after structural relaxation.

abc: 4.450 6.054 6.054
angles: 77.56 74.58 74.58
Element x y z (fractional)
Ga1 0.184 0.663 0.913
Ga2 0.816 0.837 0.587
Ga3 0.184 0.163 0.413
Ga4 0.816 0.337 0.087
Be1 0.608 0.899 0.149
Be2 0.392 0.101 0.851
Be3 0.608 0.399 0.649
Be4 0.392 0.601 0.351
Co1 0.899 0.073 0.823
Co2 0.101 0.927 0.177
Co3 0.899 0.573 0.323
Co4 0.101 0.427 0.677

offset from the most stable computed form: 114.9 meV per atom
energy of formation from the pure elements: -0.082 eV per atom
mass density: 6.11 g/cm3
DOS at the Fermi energy: 0.763 states/eV/atom



[3]
## SrReRh2 (PBE)

Data for SrReRh2 after structural relaxation.

abc: 3.261 3.261 7.245
angles: 90.00 90.00 90.00
Element x y z (fractional)
Sr1 0.000 0.000 0.489
Re1 0.500 0.500 0.830
Rh1 0.000 0.000 0.983
Rh2 0.500 0.500 0.198

offset from the most stable computed form: 279.1 meV per atom
energy of formation from the pure elements: 0.438 eV per atom
mass density: 10.34 g/cm3
DOS at the Fermi energy: 1.274 states/eV/atom



[4]
## ScPaGeAu (PBE)

Data for ScPaGeAu after structural relaxation.

abc: 4.971 4.971 4.971
angles: 60.00 60.00 60.00
Site moments in Bohr magnetons follow the coordinates.
Element x y z (fractional)
Pa1 0.000 0.000 0.000  0.83
Sc1 0.500 0.500 0.500  0.41
Ge1 0.250 0.250 0.250  -0.01
Au1 0.750 0.750 0.750  0.04

energy of formation from the pure elements: -0.417 eV per atom
mass density: 10.43 g/cm3
DOS at the Fermi energy: 2.076 states/eV/atom